No. 1
A plane-wave DFT calculation with PBE was carried out for a relaxed structure of CeNdNi2.

## Properties
Energy relative to the elements   -0.2070 eV/atom

The structure in POSCAR format:
```
CeNdNi2
1.0
0.000 3.458 3.458
3.458 0.000 3.458
3.458 3.458 0.000
Ce Nd Ni
1 1 2
direct
0.000 0.000 0.000
0.500 0.500 0.500
0.250 0.250 0.250
0.750 0.750 0.750
```

=====

No. 2
A plane-wave DFT calculation with PBE was carried out for a relaxed structure of CeNdNi4.

## Properties
Energy relative to the elements   -0.3291 eV/atom

The structure in POSCAR format:
```
CeNdNi4
1.0
0.000 3.628 3.628
3.628 0.000 3.628
3.628 3.628 0.000
Ce Nd Ni
1 1 4
direct
0.000 0.000 0.000
0.750 0.750 0.750
0.374 0.374 0.374
0.374 0.374 0.877
0.374 0.877 0.374
0.877 0.374 0.374
```

=====

No. 3
A plane-wave DFT calculation with PBE was carried out for a relaxed structure of CeNdNi10.

## Properties
Energy relative to the elements   -0.3117 eV/atom

The structure in POSCAR format:
```
CeNdNi10
1.0
3.985 0.000 0.000
0.000 4.926 0.000
0.000 0.000 8.512
Ce Nd Ni
1 1 10
direct
0.000 0.000 0.000
0.000 0.500 0.500
0.000 0.000 0.326
0.000 0.000 0.674
0.000 0.500 0.161
0.000 0.500 0.839
0.500 0.000 0.500
0.500 0.249 0.248
0.500 0.249 0.752
0.500 0.500 0.000
0.500 0.751 0.248
0.500 0.751 0.752
```

=====

No. 4
A plane-wave DFT calculation with PBE was carried out for a relaxed structure of CeNd2Ni.

## Properties
Energy relative to the elements   -0.0305 eV/atom

The structure in POSCAR format:
```
CeNd2Ni
1.0
3.532 0.000 0.000
0.000 3.532 0.000
0.000 0.000 8.652
Ce Nd Ni
1 2 1
direct
0.000 0.000 0.000
0.500 0.500 0.306
0.500 0.500 0.694
0.000 0.000 0.500
```

=====

No. 5
A plane-wave DFT calculation with PBE was carried out for a relaxed structure of CeNd3Ni8.

## Properties
Energy relative to the elements   -0.3194 eV/atom

The structure in POSCAR format:
```
CeNd3Ni8
1.0
2.577 1.488 8.416
-2.577 1.488 8.416
0.000 -2.975 8.416
Ce Nd Ni
1 3 8
direct
0.000 0.000 0.000
0.125 0.125 0.125
0.502 0.502 0.502
0.627 0.627 0.627
0.064 0.064 0.566
0.064 0.563 0.563
0.064 0.566 0.064
0.314 0.314 0.314
0.563 0.064 0.563
0.563 0.563 0.064
0.566 0.064 0.064
0.814 0.814 0.814
```

=====

No. 6
A plane-wave DFT calculation with PBE was carried out for a relaxed structure of Ce2Nd2Ni15.

## Properties
Energy relative to the elements   -0.2417 eV/atom

The structure in POSCAR format:
```
Ce2Nd2Ni15
1.0
4.282 2.472 4.246
-4.282 2.472 4.246
0.000 -4.945 4.246
Ce Nd Ni
2 2 15
direct
0.108 0.108 0.108
0.892 0.892 0.892
0.359 0.359 0.359
0.641 0.641 0.641
0.000 0.000 0.500
0.000 0.314 0.686
0.000 0.500 0.000
0.000 0.686 0.314
0.165 0.656 0.656
0.314 0.000 0.686
0.314 0.686 0.000
0.344 0.344 0.835
0.344 0.835 0.344
0.500 0.000 0.000
0.656 0.165 0.656
0.656 0.656 0.165
0.686 0.000 0.314
0.686 0.314 0.000
0.835 0.344 0.344
```

=====

No. 7
A plane-wave DFT calculation with PBE was carried out for a relaxed structure of CeNd3Ni.

## Properties
Energy relative to the elements   0.1072 eV/atom

The structure in POSCAR format:
```
CeNd3Ni
1.0
5.492 0.000 0.000
0.000 5.492 0.000
0.000 0.000 5.492
Ce Nd Ni
1 3 1
direct
0.000 0.000 0.000
0.000 0.500 0.500
0.500 0.000 0.500
0.500 0.500 0.000
0.500 0.500 0.500
```

=====

No. 8
A plane-wave DFT calculation with PBE was carried out for a relaxed structure of CeNdNi6.

## Properties
Energy relative to the elements   -0.0233 eV/atom

The structure in POSCAR format:
```
CeNdNi6
1.0
4.985 0.000 0.000
0.000 4.985 0.000
0.000 0.000 4.985
Ce Nd Ni
1 1 6
direct
0.000 0.000 0.000
0.500 0.500 0.500
0.000 0.500 0.245
0.000 0.500 0.755
0.245 0.000 0.500
0.500 0.245 0.000
0.500 0.755 0.000
0.755 0.000 0.500
```

=====

Which of these has the highest energy relative to the elements? CeNd3Ni